No. 1
Material: LiIn2Au
Method: DFT, meta-GGA SCAN
State: single point on PBEsol structure

```
LiIn2Au
1.0
4.338 0.000 0.000
0.000 4.338 0.000
0.000 0.000 4.064
Li In Au
1 2 1
Direct
0.000 0.000 0.000
0.000 0.500 0.500
0.500 0.000 0.500
0.500 0.500 0.000
```

symmetry: P4/mmm (123)
ρ: 9.411 g cm⁻³
E_form: -342.7 meV/atom

No. 2
Material: Mn3CrO8
Method: DFT, meta-GGA SCAN
State: single point on PBEsol structure

```
Mn3CrO8
1.0
2.837 1.638 4.652
-2.837 1.638 4.652
0.000 -3.276 4.652
Mn Cr O
3 1 8
Direct
0.000 0.500 0.500
0.500 0.000 0.500
0.500 0.500 0.000
0.500 0.500 0.500
0.264 0.264 0.264
0.264 0.264 0.707
0.264 0.707 0.264
0.293 0.736 0.736
0.707 0.264 0.264
0.736 0.293 0.736
0.736 0.736 0.293
0.736 0.736 0.736
```

symmetry: R-3m (166)
ρ: 4.416 g cm⁻³
relative energy among the computed polymorphs: 6.3 kJ/mol of atoms
formation energy from raw total energies: -2.02 eV/atom

No. 3
Material: Ca5Dy3Ti5Mn3O24
Method: DFT, meta-GGA SCAN
State: single point on PBEsol structure

```
Ca5Dy3Ti5Mn3O24
1.0
5.300 0.000 0.000
0.020 5.492 0.000
0.002 0.048 15.105
Ca Dy Ti Mn O
5 3 5 3 24
Direct
0.000 0.000 0.000
0.002 0.992 0.504
0.023 0.898 0.256
0.503 0.399 0.255
0.525 0.497 0.505
0.031 0.879 0.756
0.496 0.377 0.756
0.525 0.511 0.000
0.008 0.441 0.629
0.015 0.449 0.128
0.016 0.446 0.379
0.510 0.954 0.128
0.512 0.949 0.382
0.010 0.443 0.879
0.517 0.947 0.879
0.520 0.942 0.630
0.095 0.421 0.505
0.110 0.420 0.001
0.211 0.149 0.148
0.214 0.148 0.850
0.214 0.151 0.659
0.220 0.155 0.357
0.304 0.654 0.357
0.306 0.643 0.661
0.308 0.643 0.854
0.308 0.647 0.146
0.424 0.915 0.003
0.429 0.919 0.503
0.592 0.966 0.251
0.613 0.972 0.756
0.706 0.253 0.901
0.708 0.246 0.101
0.711 0.253 0.612
0.720 0.237 0.399
0.800 0.732 0.102
0.806 0.737 0.902
0.807 0.736 0.399
0.825 0.746 0.611
0.910 0.475 0.757
0.933 0.467 0.251
```

symmetry: P1 (1)
ρ: 5.574 g cm⁻³
formation energy from raw total energies: -3.31 eV/atom